[1]
First-principles (PBE) data for a relaxed NaReGe2 crystal, as listed in Alexandria via LeMat-Bulk.

abc: 3.1106 3.1106 7.6408
angles: 90.00 90.00 90.00
Closest atoms and distances in Å follow each position.
Space group P4/mmm (No. 123)
Unique sites:
Na: 0.0000 0.0000 0.0000 [1 per cell]  4 Na 3.11, 8 Ge 3.20
Re: 0.0000 0.0000 0.5000 [1 per cell]  8 Ge 2.66
Ge: 0.5000 0.5000 0.3042 [2 per cell]  4 Re 2.66

Computed properties:
Energy relative to the elements (eV/f.u.): 0.3
Energy above the most stable polymorph in this dataset (meV/atom): 0

---

[2]
First-principles (PBE) data for a relaxed NaReGe3 crystal, as listed in Alexandria via LeMat-Bulk.

abc: 4.8990 4.8990 4.8990
angles: 90.00 90.00 90.00
Closest atoms and distances in Å follow each position.
Space group Pm-3m (No. 221)
Unique sites:
Na: 0.0000 0.0000 0.0000 [1 per cell]  12 Ge 3.46
Re: 0.5000 0.5000 0.5000 [1 per cell]  6 Ge 2.45
Ge: 0.0000 0.5000 0.5000 [3 per cell]  2 Re 2.45

Computed properties:
Energy relative to the elements (eV/f.u.): 1.2
Energy above the most stable polymorph in this dataset (meV/atom): 0

---

[3]
First-principles (PBE) data for a relaxed NaGe6Rh6 crystal, as listed in Alexandria via LeMat-Bulk.

abc: 5.4997 7.9247 9.5101
angles: 90.00 90.00 90.00
Closest atoms and distances in Å follow each position.
Space group Immm (No. 71)
Unique sites:
Na: 0.0000 0.0000 0.0000 [2 per cell]  2 Ge 2.70
Ge: 0.0000 0.0000 0.3290 [4 per cell]  6 Rh 2.51-2.53
Ge: 0.0000 0.3413 0.0000 [4 per cell]  1 Ge 2.51, 1 Na 2.70
Ge: 0.0000 0.5000 0.3367 [4 per cell]  6 Rh 2.55-2.57
Rh: 0.0000 0.2411 0.5000 [4 per cell]  4 Ge 2.51-2.57, 4 Rh 2.75
Rh: 0.2500 0.2500 0.2500 [8 per cell]  4 Ge 2.53-2.55, 4 Rh 2.75

Computed properties:
Energy relative to the elements (eV/f.u.): -5.7

---

[4]
First-principles (PBE) data for a relaxed NaGe2Rh crystal, as listed in Alexandria via LeMat-Bulk.

abc: 6.3652 6.3652 6.3652
angles: 90.00 90.00 90.00
Closest atoms and distances in Å follow each position.
Space group Fm-3m (No. 225)
Unique sites:
Na: 0.0000 0.0000 0.0000 [4 per cell]  8 Ge 2.76
Ge: 0.2500 0.2500 0.2500 [8 per cell]  4 Rh 2.76, 4 Na 2.76
Rh: 0.0000 0.0000 0.5000 [4 per cell]  8 Ge 2.76

Computed properties:
Energy relative to the elements (eV/f.u.): -0.4
Energy above the most stable polymorph in this dataset (meV/atom): 156

---

[5]
First-principles (PBE) data for a relaxed NaGe2Rh crystal, as listed in Alexandria via LeMat-Bulk.

abc: 3.1517 3.1517 7.3785
angles: 90.00 90.00 90.00
Closest atoms and distances in Å follow each position.
Space group P4/mmm (No. 123)
Unique sites:
Na: 0.0000 0.0000 0.0000 [1 per cell]  4 Na 3.15, 8 Ge 3.17
Ge: 0.5000 0.5000 0.3048 [2 per cell]  4 Rh 2.65, 1 Ge 2.88
Rh: 0.0000 0.0000 0.5000 [1 per cell]  8 Ge 2.65

Computed properties:
Energy relative to the elements (eV/f.u.): -1.0
Energy above the most stable polymorph in this dataset (meV/atom): 0

---

[6]
First-principles (PBE) data for a relaxed Na2GeRh crystal, as listed in Alexandria via LeMat-Bulk.

abc: 6.7039 6.7039 6.7039
angles: 90.00 90.00 90.00
Closest atoms and distances in Å follow each position.
Space group Fm-3m (No. 225)
Unique sites:
Na: 0.2500 0.2500 0.2500 [8 per cell]  4 Ge 2.90, 4 Rh 2.90
Ge: 0.0000 0.0000 0.0000 [4 per cell]  8 Na 2.90
Rh: 0.0000 0.0000 0.5000 [4 per cell]  8 Na 2.90

Computed properties:
Energy relative to the elements (eV/f.u.): 1.5

---

[7]
First-principles (PBE) data for a relaxed NaGe2Rh2 crystal, as listed in Alexandria via LeMat-Bulk.

abc: 4.1243 4.1243 10.7390
angles: 90.00 90.00 90.00
Closest atoms and distances in Å follow each position.
Space group I4/mmm (No. 139)
Unique sites:
Na: 0.0000 0.0000 0.0000 [2 per cell]  8 Rh 3.20, 8 Ge 3.39
Ge: 0.0000 0.5000 0.2500 [4 per cell]  4 Rh 2.48
Rh: 0.0000 0.0000 0.3781 [4 per cell]  4 Ge 2.48, 1 Rh 2.62

Computed properties:
Energy relative to the elements (eV/f.u.): -1.3
Energy above the most stable polymorph in this dataset (meV/atom): 253

---

[8]
First-principles (PBE) data for a relaxed NaGeRh3 crystal, as listed in Alexandria via LeMat-Bulk.

abc: 4.6201 4.6201 4.6201
angles: 90.00 90.00 90.00
Closest atoms and distances in Å follow each position.
Space group Pm-3m (No. 221)
Unique sites:
Na: 0.0000 0.0000 0.0000 [1 per cell]  12 Rh 3.27
Ge: 0.5000 0.5000 0.5000 [1 per cell]  6 Rh 2.31
Rh: 0.0000 0.5000 0.5000 [3 per cell]  2 Ge 2.31

Computed properties:
Energy relative to the elements (eV/f.u.): 2.0

---

[9]
First-principles (PBE) data for a relaxed NaGe4Rh4 crystal, as listed in Alexandria via LeMat-Bulk.

abc: 8.2157 8.2157 4.9330
angles: 90.00 90.00 90.00
Closest atoms and distances in Å follow each position.
Space group P4_2/n (No. 86, origin choice 2)
Unique sites:
Na: 0.2500 0.2500 0.2500 [2 per cell]  4 Rh 3.18, 4 Ge 3.23
Ge: 0.0732 0.9026 0.1685 [8 per cell]  5 Rh 2.44-2.54, 1 Ge 2.60
Rh: 0.1095 0.8822 0.6583 [8 per cell]  5 Ge 2.44-2.54

Computed properties:
Energy relative to the elements (eV/f.u.): -3.5

---

[10]
First-principles (PBE) data for a relaxed Na2Ge2Rh crystal, as listed in Alexandria via LeMat-Bulk.

abc: 6.4006 6.4006 4.9921
angles: 90.00 90.00 90.00
Closest atoms and distances in Å follow each position.
Space group P4/mbm (No. 127)
Unique sites:
Na: 0.1811 0.3189 0.0000 [4 per cell]  6 Ge 2.98-3.24, 5 Na 3.28-3.32
Ge: 0.1400 0.6400 0.5000 [4 per cell]  2 Rh 2.47, 1 Ge 2.54
Rh: 0.0000 0.0000 0.5000 [2 per cell]  4 Ge 2.47

Computed properties:
Energy relative to the elements (eV/f.u.): -1.0

---

[11]
First-principles (PBE) data for a relaxed NaGe2Rh crystal, as listed in Alexandria via LeMat-Bulk.

abc: 5.1290 5.1290 15.7015
angles: 90.00 90.00 90.00
Closest atoms and distances in Å follow each position.
Space group I-42d (No. 122)
Unique sites:
Na: 0.0000 0.0000 0.0000 [4 per cell]  4 Ge 3.24, 4 Rh 3.63
Ge: 0.0641 0.2500 0.6250 [8 per cell]  2 Rh 2.37, 2 Ge 2.65
Rh: 0.0000 0.0000 0.5000 [4 per cell]  4 Ge 2.37

Computed properties:
Energy relative to the elements (eV/f.u.): -0.1
Energy above the most stable polymorph in this dataset (meV/atom): 238

---

[12]
First-principles (PBE) data for a relaxed NaGe2Rh crystal, as listed in Alexandria via LeMat-Bulk.

abc: 4.1910 4.1910 15.9103
angles: 90.00 90.00 120.00
Closest atoms and distances in Å follow each position.
Space group R3m (No. 160, hexagonal axes)
Unique sites:
Na: 0.0000 0.0000 0.0000 [3 per cell]  1 Rh 2.92, 6 Ge 3.00-3.15
Ge: 0.0000 0.0000 0.5553 [3 per cell]  3 Rh 2.50
Ge: 0.0000 0.0000 0.7929 [3 per cell]  3 Rh 2.58, 3 Ge 2.86
Rh: 0.0000 0.0000 0.1834 [3 per cell]  6 Ge 2.50-2.58

Computed properties:
Energy relative to the elements (eV/f.u.): -0.9
Energy above the most stable polymorph in this dataset (meV/atom): 23